{"formula": "Ba2Pb", "functional": "GGA-PBEsol", "state": "optimized geometry", "total_energy_ev_per_atom": -3.300, "rho_g_cm3": 6.2, "lattice": [[-3.669, 3.757, -1.011], [-6.634, -5.794, 2.545], [3.917, 5.495, 6.206]], "species": ["Pb", "Ba", "Ba", "Pb", "Ba", "Ba", "Ba", "Ba", "Pb"], "fractional_positions": [[0.000, 0.667, 0.333], [0.500, 0.584, 0.000], [0.000, 0.258, 0.000], [0.000, 0.333, 0.667], [0.500, 0.000, 0.584], [0.000, 0.742, 0.742], [0.000, 0.000, 0.258], [0.500, 0.416, 0.416], [0.500, 0.000, 0.000]]}

***

{"formula": "MnTeCN2", "functional": "GGA-PBEsol", "state": "optimized geometry", "total_energy_ev_per_atom": -6.700, "e_above_lowest_polymorph_mev_per_atom": 0, "rho_g_cm3": 5.7, "lattice": [[3.460, 0.000, 0.000], [0.000, 3.460, 0.000], [0.000, 0.000, 5.445]], "species": ["Te", "Mn", "N", "N", "C"], "fractional_positions": [[0.000, 0.000, 0.500], [0.000, 0.000, 0.000], [0.500, 0.000, 0.000], [0.000, 0.500, 0.000], [0.500, 0.500, 0.500]]}

***

{"formula": "CaEu2O3", "functional": "GGA-PBEsol", "state": "optimized geometry", "total_energy_ev_per_atom": -9.338, "e_above_lowest_polymorph_mev_per_atom": 64, "rho_g_cm3": 7.3, "lattice": [[-0.244, 5.145, 2.853], [1.813, -2.658, 4.948], [3.962, 2.269, -3.753]], "species": ["Eu", "Ca", "O", "Eu", "Ca", "O", "O", "Eu", "O", "O", "Eu", "O"], "fractional_positions": [[0.250, 0.167, 0.667], [0.250, 0.835, 0.000], [0.500, 0.500, 0.000], [0.750, 0.500, 0.667], [0.750, 0.165, 0.000], [0.000, 0.162, 0.324], [0.000, 0.838, 0.676], [0.750, 0.833, 0.333], [0.500, 0.162, 0.324], [0.500, 0.838, 0.676], [0.250, 0.500, 0.333], [0.000, 0.500, 0.000]]}

***

{"formula": "NaSiHg2", "functional": "GGA-PBEsol", "state": "optimized geometry", "total_energy_ev_per_atom": -1.872, "rho_g_cm3": 7.3, "lattice": [[4.915, 0.000, 0.000], [0.000, 4.915, 0.000], [-2.458, -2.458, 8.529]], "species": ["Na", "Si", "Hg", "Na", "Hg", "Si", "Hg", "Hg"], "fractional_positions": [[0.750, 0.250, 0.500], [0.250, 0.750, 0.500], [0.960, 0.375, 0.250], [0.500, 0.500, 0.000], [0.125, 0.040, 0.750], [0.000, 0.000, 0.000], [0.290, 0.875, 0.250], [0.625, 0.710, 0.750]]}

***

{"formula": "SiHg2MoPb", "functional": "GGA-PBEsol", "state": "optimized geometry", "total_energy_ev_per_atom": -3.326, "rho_g_cm3": 9.4, "lattice": [[4.878, 0.000, 0.000], [0.000, 4.878, 0.000], [0.000, 0.000, 5.445]], "species": ["Hg", "Si", "Hg", "Mo", "Pb"], "fractional_positions": [[0.500, 0.000, 0.000], [0.000, 0.000, 0.000], [0.000, 0.500, 0.000], [0.500, 0.500, 0.500], [0.000, 0.000, 0.500]]}

***

{"formula": "GeWF3", "functional": "GGA-PBEsol", "state": "optimized geometry", "total_energy_ev_per_atom": -5.583, "e_above_lowest_polymorph_mev_per_atom": 0, "rho_g_cm3": 7.2, "lattice": [[-2.725, -0.939, 3.007], [0.418, -4.049, -0.886], [3.122, -0.278, 2.743]], "species": ["Ge", "F", "W", "F", "F"], "fractional_positions": [[0.500, 0.500, 0.500], [0.000, 0.500, 0.000], [0.000, 0.000, 0.000], [0.500, 0.000, 0.000], [0.000, 0.000, 0.500]]}

***

{"formula": "ScAs2HSe", "functional": "GGA-PBEsol", "state": "optimized geometry", "total_energy_ev_per_atom": -5.026, "rho_g_cm3": 5.6, "lattice": [[-1.829, -2.549, -2.261], [2.141, -2.856, 1.488], [-3.730, -0.771, 3.887]], "species": ["As", "Sc", "H", "Se", "As"], "fractional_positions": [[0.000, 0.500, 0.000], [0.500, 0.500, 0.500], [0.000, 0.000, 0.000], [0.000, 0.000, 0.500], [0.500, 0.000, 0.000]]}

***

{"formula": "CsB3O", "functional": "GGA-PBEsol", "state": "optimized geometry", "total_energy_ev_per_atom": -3.126, "e_above_lowest_polymorph_mev_per_atom": 0, "rho_g_cm3": 4.0, "lattice": [[-2.397, 1.855, -2.950], [-3.273, -2.429, 1.132], [-1.197, 2.924, 2.812]], "species": ["B", "B", "Cs", "O", "B"], "fractional_positions": [[0.000, 0.500, 0.000], [0.000, 0.000, 0.500], [0.500, 0.500, 0.500], [0.000, 0.000, 0.000], [0.500, 0.000, 0.000]]}

***

{"formula": "Rb2ReSiF", "functional": "GGA-PBEsol", "state": "optimized geometry", "total_energy_ev_per_atom": -4.225, "rho_g_cm3": 3.5, "lattice": [[-1.430, 1.320, -4.158], [-5.109, -3.868, 0.529], [-3.351, 4.792, 2.674]], "species": ["Rb", "Re", "Si", "F", "Rb"], "fractional_positions": [[0.000, 0.500, 0.000], [0.000, 0.000, 0.000], [0.500, 0.000, 0.000], [0.500, 0.500, 0.500], [0.000, 0.000, 0.500]]}

***

{"formula": "Cr3O8", "functional": "GGA-PBEsol", "state": "optimized geometry", "total_energy_ev_per_atom": -8.266, "rho_g_cm3": 3.2, "lattice": [[-0.534, -0.097, -5.207], [3.672, -2.405, -2.852], [-3.126, -5.355, 0.334]], "species": ["Cr", "O", "O", "O", "O", "O", "O", "Cr", "O", "O", "Cr"], "fractional_positions": [[0.000, 0.000, 0.000], [0.294, 0.807, 0.197], [0.706, 0.193, 0.803], [0.805, 0.805, 0.107], [0.316, 0.316, 0.495], [0.684, 0.684, 0.505], [0.193, 0.706, 0.803], [0.350, 0.350, 0.744], [0.807, 0.294, 0.197], [0.195, 0.195, 0.893], [0.650, 0.650, 0.256]]}

***

{"formula": "BeNbTe2H", "functional": "GGA-PBEsol", "state": "optimized geometry", "total_energy_ev_per_atom": -4.156, "rho_g_cm3": 4.5, "lattice": [[-2.867, -1.865, 3.241], [-3.391, -1.373, -3.791], [2.445, -4.639, -0.507]], "species": ["Te", "Be", "Nb", "H", "Te"], "fractional_positions": [[0.000, 0.500, 0.000], [0.500, 0.000, 0.000], [0.000, 0.000, 0.000], [0.500, 0.500, 0.500], [0.000, 0.000, 0.500]]}

***

{"formula": "LiTc2Au", "functional": "GGA-PBEsol", "state": "optimized geometry", "total_energy_ev_per_atom": -6.882, "e_above_lowest_polymorph_mev_per_atom": 0, "rho_g_cm3": 11.7, "lattice": [[-0.780, -0.599, 3.485], [4.165, -0.349, 0.872], [-1.527, 4.094, -1.519]], "species": ["Au", "Tc", "Li", "Tc"], "fractional_positions": [[0.507, 0.507, 0.015], [0.732, 0.232, 0.463], [0.251, 0.751, 0.503], [0.010, 0.010, 0.019]]}